1.
{
  "formula": "Sm2CoTe",
  "functional": "GGA-PBE",
  "state": "optimized geometry",
  "lattice": [[2.0440, 1.1801, 7.4004], [-2.0440, 1.1801, 7.4004], [0.0000, -2.3602, 7.4004]],
  "species": ["Sm", "Sm", "Co", "Te"],
  "frac_coords": [[0.2361, 0.2361, 0.2361], [0.7639, 0.7639, 0.7639], [0.5000, 0.5000, 0.5000], [0.0000, 0.0000, 0.0000]],
  "formation_energy_uncorrected_ev_per_atom": -0.607
}



2.
{
  "formula": "Ho12In5Ga2",
  "functional": "GGA-PBE",
  "state": "optimized geometry",
  "lattice": [[6.4820, -5.2422, 0.0000], [6.4820, 5.2422, 0.0000], [-1.1662, 0.0000, 7.7056]],
  "species": ["Ho", "Ho", "Ho", "Ho", "Ho", "Ho", "Ho", "Ho", "Ho", "Ho", "Ho", "Ho", "In", "In", "In", "In", "In", "Ga", "Ga"],
  "frac_coords": [[0.0762, 0.0762, 0.2024], [0.1159, 0.6563, 0.1266], [0.1546, 0.5490, 0.6805], [0.3437, 0.8841, 0.8734], [0.3781, 0.3781, 0.3482], [0.4510, 0.8454, 0.3195], [0.5490, 0.1546, 0.6805], [0.6219, 0.6219, 0.6518], [0.6563, 0.1159, 0.1266], [0.8454, 0.4510, 0.3195], [0.8841, 0.3437, 0.8734], [0.9238, 0.9238, 0.7976], [0.1721, 0.1721, 0.5868], [0.2633, 0.2633, 0.9671], [0.5000, 0.5000, 0.0000], [0.7367, 0.7367, 0.0329], [0.8279, 0.8279, 0.4132], [0.1751, 0.8249, 0.5000], [0.8249, 0.1751, 0.5000]],
  "formation_enthalpy_0k_ev_per_fu": -4.9
}



3.
{
  "formula": "PmYGaPb",
  "functional": "GGA-PBE",
  "state": "optimized geometry",
  "lattice": [[0.0000, 3.7735, 3.7735], [3.7735, 0.0000, 3.7735], [3.7735, 3.7735, 0.0000]],
  "species": ["Pm", "Y", "Ga", "Pb"],
  "frac_coords": [[0.0000, 0.0000, 0.0000], [0.5000, 0.5000, 0.5000], [0.2500, 0.2500, 0.2500], [0.7500, 0.7500, 0.7500]],
  "formation_enthalpy_0k_ev_per_fu": -1.8
}



4.
{
  "formula": "HfMg2Te",
  "functional": "GGA-PBE",
  "state": "optimized geometry",
  "lattice": [[-4.1316, 4.1316, 2.8906], [4.1316, -4.1316, 2.8906], [4.1316, 4.1316, -2.8906]],
  "species": ["Hf", "Hf", "Mg", "Mg", "Mg", "Mg", "Te", "Te"],
  "frac_coords": [[0.0000, 0.0000, 0.0000], [0.7500, 0.2500, 0.5000], [0.1471, 0.6250, 0.0221], [0.3750, 0.3971, 0.5221], [0.6029, 0.1250, 0.9779], [0.8750, 0.8529, 0.4779], [0.2500, 0.7500, 0.5000], [0.5000, 0.5000, 0.0000]],
  "formation_energy_uncorrected_ev_per_atom": 0.128
}



Going through the records in order, we get ρ values of 7.6 8.5 7.9 6.0 g/cm3.
Going through the records in order, we get raw total energy values of -22.11 -79.62 -19.79 -15.77 eV/f.u..